(1)
A relaxed ZnCrCo2 crystal, computed with PBE-GGA.

abc: 5.273 6.735 2.565
angles: 90.00 90.00 90.00
Space group Cmmm (No. 65)
Asymmetric unit:
Zn 0.000 0.000 0.000 [2 per cell]
Cr 0.000 0.500 0.000 [2 per cell]
Co 0.250 0.250 0.500 [4 per cell]

Computed properties:
Total magnetization in μB per formula unit: 0.0
Energy of formation from the pure elements in meV/atom: 143
DFT total energy in eV/atom: -6.134



(2)
A relaxed ZnCrCo2 crystal, computed with PBE-GGA.

abc: 5.766 5.766 5.766
angles: 90.00 90.00 90.00
Space group F-43m (No. 216)
Asymmetric unit:
Zn 0.000 0.000 0.000 [4 per cell]
Cr 0.250 0.250 0.750 [4 per cell]
Co 0.000 0.000 0.500 [4 per cell]
Co 0.250 0.250 0.250 [4 per cell]

Computed properties:
Total magnetization in μB per formula unit: 0.7
Energy of formation from the pure elements in meV/atom: 235
DFT total energy in eV/atom: -6.042



(3)
A relaxed ZnCr2Co crystal, computed with PBE-GGA.

abc: 2.500 2.500 7.528
angles: 90.00 90.00 90.00
Space group P4/mmm (No. 123)
Asymmetric unit:
Zn 0.000 0.000 0.000 [1 per cell]
Cr 0.500 0.500 0.269 [2 per cell]
Co 0.000 0.000 0.500 [1 per cell]

Computed properties:
Total magnetization in μB per formula unit: 0.0
Energy of formation from the pure elements in meV/atom: 143
DFT total energy in eV/atom: -6.763



(4)
A relaxed ZnCrCo2 crystal, computed with PBE-GGA.

abc: 2.584 2.584 6.815
angles: 90.00 90.00 90.00
Space group P4/mmm (No. 123)
Asymmetric unit:
Zn 0.000 0.000 0.000 [1 per cell]
Cr 0.000 0.000 0.500 [1 per cell]
Co 0.500 0.500 0.264 [2 per cell]

Computed properties:
Total magnetization in μB per formula unit: 0.0
Energy of formation from the pure elements in meV/atom: -4
DFT total energy in eV/atom: -6.281



(5)
A relaxed ZnCr2Co crystal, computed with PBE-GGA.

abc: 2.5327 2.5327 25.6083
angles: 90.00 90.00 120.00
Space group R-3m (No. 166, hexagonal axes)
Asymmetric unit:
Zn 0.0000 0.0000 0.0000 [3 per cell]
Cr 0.0000 0.0000 0.2447 [6 per cell]
Co 0.0000 0.0000 0.5000 [3 per cell]

Computed properties:
Total magnetization in μB per formula unit: 0.0
Energy of formation from the pure elements in meV/atom: 217
DFT total energy in eV/atom: -6.690



(6)
A relaxed ZnCr2Co crystal, computed with PBE-GGA.

abc: 2.952 4.176 7.973
angles: 90.00 90.00 90.00
Space group Imm2 (No. 44)
Asymmetric unit:
Zn 0.000 0.000 0.000 [2 per cell]
Cr 0.000 0.000 0.497 [2 per cell]
Cr 0.000 0.500 0.229 [2 per cell]
Co 0.000 0.500 0.756 [2 per cell]

Computed properties:
Total magnetization in μB per formula unit: 1.1
Energy of formation from the pure elements in meV/atom: 180
DFT total energy in eV/atom: -6.727



(7)
A relaxed ZnCrCo2 crystal, computed with PBE-GGA.

abc: 2.590 3.295 5.352
angles: 90.00 90.00 90.00
Space group Pmmm (No. 47)
Asymmetric unit:
Zn 0.000 0.000 0.000 [1 per cell]
Cr 0.000 0.000 0.500 [1 per cell]
Co 0.500 0.500 0.265 [2 per cell]

Computed properties:
Total magnetization in μB per formula unit: 0.3
Energy of formation from the pure elements in meV/atom: 51
DFT total energy in eV/atom: -6.227



(8)
A relaxed ZnCrCo2 crystal, computed with PBE-GGA.

abc: 2.501 3.657 5.083
angles: 90.00 90.00 90.00
Space group Pmm2 (No. 25)
Asymmetric unit:
Zn 0.000 0.000 0.000 [1 per cell]
Cr 0.500 0.500 0.711 [1 per cell]
Co 0.000 0.000 0.501 [1 per cell]
Co 0.500 0.500 0.241 [1 per cell]

Computed properties:
Total magnetization in μB per formula unit: 2.5
Energy of formation from the pure elements in meV/atom: 138
DFT total energy in eV/atom: -6.139



(9)
A relaxed ZnCrCo2 crystal, computed with PBE-GGA.

abc: 2.5419 2.5419 24.5384
angles: 90.00 90.00 120.00
Space group R3m (No. 160, hexagonal axes)
Asymmetric unit:
Zn 0.0000 0.0000 0.0000 [3 per cell]
Cr 0.0000 0.0000 0.1666 [3 per cell]
Co 0.0000 0.0000 0.5795 [3 per cell]
Co 0.0000 0.0000 0.7540 [3 per cell]

Computed properties:
Total magnetization in μB per formula unit: 0.0
Energy of formation from the pure elements in meV/atom: 78
DFT total energy in eV/atom: -6.200



(10)
A relaxed ZnCr2Co crystal, computed with PBE-GGA.

abc: 3.414 3.414 8.020
angles: 90.00 90.00 90.00
Space group I4/mmm (No. 139)
Asymmetric unit:
Zn 0.000 0.000 0.000 [2 per cell]
Cr 0.000 0.500 0.250 [4 per cell]
Co 0.000 0.000 0.500 [2 per cell]

Computed properties:
Total magnetization in μB per formula unit: 0.0
Energy of formation from the pure elements in meV/atom: 177
DFT total energy in eV/atom: -6.730



(11)
A relaxed ZnCr2Co crystal, computed with PBE-GGA.

abc: 2.941 2.941 5.649
angles: 90.00 90.00 90.00
Space group P4mm (No. 99)
Asymmetric unit:
Zn 0.000 0.000 0.000 [1 per cell]
Cr 0.000 0.000 0.497 [1 per cell]
Cr 0.500 0.500 0.717 [1 per cell]
Co 0.500 0.500 0.242 [1 per cell]

Computed properties:
Total magnetization in μB per formula unit: 1.2
Energy of formation from the pure elements in meV/atom: 128
DFT total energy in eV/atom: -6.779



(12)
A relaxed ZnCrCo3 crystal, computed with PBE-GGA.

abc: 4.321 4.321 4.321
angles: 90.00 90.00 90.00
Space group Pm-3m (No. 221)
Asymmetric unit:
Zn 0.000 0.000 0.000 [1 per cell]
Cr 0.500 0.500 0.500 [1 per cell]
Co 0.000 0.000 0.500 [3 per cell]

Computed properties:
Total magnetization in μB per formula unit: 8.7
Energy of formation from the pure elements in meV/atom: 1348
DFT total energy in eV/atom: -5.095
Energy relative to the lowest polymorph listed for this composition in eV per atom: 0.2666



(13)
A relaxed ZnCrCo2 crystal, computed with PBE-GGA.

abc: 2.530 2.530 7.317
angles: 90.00 90.00 90.00
Space group P4mm (No. 99)
Asymmetric unit:
Zn 0.000 0.000 0.000 [1 per cell]
Cr 0.500 0.500 0.725 [1 per cell]
Co 0.000 0.000 0.485 [1 per cell]
Co 0.500 0.500 0.260 [1 per cell]

Computed properties:
Total magnetization in μB per formula unit: 3.1
Energy of formation from the pure elements in meV/atom: 99
DFT total energy in eV/atom: -6.178



(14)
A relaxed ZrZnCrCo crystal, computed with PBE-GGA.

abc: 6.181 6.181 6.181
angles: 90.00 90.00 90.00
Space group F-43m (No. 216)
Asymmetric unit:
Zr 0.000 0.000 0.000 [4 per cell]
Zn 0.000 0.000 0.500 [4 per cell]
Cr 0.250 0.250 0.750 [4 per cell]
Co 0.250 0.250 0.250 [4 per cell]

Computed properties:
Total magnetization in μB per formula unit: 3.0
Energy of formation from the pure elements in meV/atom: -53
DFT total energy in eV/atom: -6.691



(15)
A relaxed Zr2CrCo3 crystal, computed with PBE-GGA.

abc: 5.0152 5.0152 11.6340
angles: 90.00 90.00 120.00
Space group R-3m (No. 166, hexagonal axes)
Asymmetric unit:
Zr 0.0000 0.0000 0.1274 [6 per cell]
Cr 0.0000 0.0000 0.5000 [3 per cell]
Co 0.0000 0.5000 0.0000 [9 per cell]

Computed properties:
Total magnetization in μB per formula unit: 0.0
Energy of formation from the pure elements in meV/atom: -250
DFT total energy in eV/atom: -8.256